# 1
The following is a PBE calculation of an optimized crystal structure of NdGdZnSb, from Alexandria via LeMat-Bulk.

a b c (Å): 5.3085 5.3085 5.3085
angles (deg): 60.00 60.00 60.00
Fractional positions:
Sb (0.2500, 0.2500, 0.2500)
Gd (0.5000, 0.5000, 0.5000)
Zn (0.7500, 0.7500, 0.7500)
Nd (0.0000, 0.0000, 0.0000)

Summary:
Total magnetic moment ... 7.40 μB per cell
Final energy ... -26.53 eV/cell
Symmetry ... F-43m, No. 216
Raw formation energy ... -572 meV/atom



# 2
The following is a PBE calculation of an optimized crystal structure of FeSi4P, from Alexandria via LeMat-Bulk.

a b c (Å): 4.9721 4.9721 4.9721
angles (deg): 60.00 60.00 60.00
Fractional positions:
Si (0.8753, 0.3749, 0.3749)
Si (0.3749, 0.3749, 0.8753)
Si (0.3749, 0.8753, 0.3749)
Si (0.3749, 0.3749, 0.3749)
Fe (0.7500, 0.7500, 0.7500)
P (0.0000, 0.0000, 0.0000)

Summary:
Total magnetic moment ... 2.87 μB per cell
Final energy ... -31.60 eV/cell
Symmetry ... F-43m, No. 216
Raw formation energy ... 661 meV/atom